Entry 1:
The following is a PBE calculation of crystalline NaOsAuSe3 at its relaxed geometry, from OQMD via LeMat-Bulk.

## Properties
Its symmetry is Cmcm (63). The total moment comes out at 0.973 Bohr magnetons per cell. As for the crystal system: orthorhombic. The total energy is -53.69 eV for the cell shown.

a = 7.462 Å, b = 7.462 Å, c = 9.984 Å
α = 90.00°, β = 90.00°, γ = 29.09°
Site moments in Bohr magnetons follow the coordinates.
Element x y z (fractional)
Au 0.389 0.389 0.250  0.02
Au 0.611 0.611 0.750  0.02
Na 0.731 0.731 0.250  0.00
Na 0.269 0.269 0.750  0.00
Os 0.000 0.000 0.000  0.34
Os 0.000 0.000 0.500  0.35
Se 0.383 0.383 0.006  0.03
Se 0.057 0.057 0.250  0.00
Se 0.383 0.383 0.494  0.03
Se 0.617 0.617 0.506  0.03
Se 0.943 0.943 0.750  0.00
Se 0.617 0.617 0.994  0.03


Entry 2:
The following is a PBE calculation of crystalline NaOsAu3Se4 at its relaxed geometry, from OQMD via LeMat-Bulk.

## Properties
Its symmetry is P-43m (215). The total moment comes out at 0.001 Bohr magnetons per cell. As for the crystal system: cubic. The total energy is -35.32 eV for the cell shown.

a = 6.362 Å, b = 6.362 Å, c = 6.362 Å
α = 90.00°, β = 90.00°, γ = 90.00°
Element x y z (fractional)
Au 0.500 0.500 0.000
Au 0.500 0.000 0.500
Au 0.000 0.500 0.500
Na 0.000 0.000 0.000
Os 0.500 0.500 0.500
Se 0.281 0.281 0.281
Se 0.719 0.719 0.281
Se 0.719 0.281 0.719
Se 0.281 0.719 0.719


Entry 3:
The following is a PBE calculation of crystalline NaTeOsAuSe2 at its relaxed geometry, from OQMD via LeMat-Bulk.

## Properties
Its symmetry is Cmcm (63). The total moment comes out at 2.029 Bohr magnetons per cell. As for the crystal system: orthorhombic. The total energy is -53.32 eV for the cell shown.

a = 8.002 Å, b = 8.002 Å, c = 10.497 Å
α = 90.00°, β = 90.00°, γ = 154.36°
Site moments in Bohr magnetons follow the coordinates.
Element x y z (fractional)
Au 0.630 0.370 0.250  0.01
Au 0.370 0.630 0.750  0.01
Na 0.279 0.721 0.250  0.00
Na 0.721 0.279 0.750  0.00
Os 0.000 0.000 0.000  0.80
Os 0.000 0.000 0.500  0.78
Se 0.616 0.384 0.017  0.05
Se 0.616 0.384 0.483  0.05
Se 0.384 0.616 0.517  0.05
Se 0.384 0.616 0.983  0.05
Te 0.950 0.050 0.250  -0.01
Te 0.050 0.950 0.750  -0.01


Entry 4:
The following is a PBE calculation of crystalline NaTe4OsAu3 at its relaxed geometry, from OQMD via LeMat-Bulk.

## Properties
Its symmetry is P-43m (215). The total moment comes out at 0.666 Bohr magnetons per cell. As for the crystal system: cubic. The total energy is -33.81 eV for the cell shown.

a = 6.638 Å, b = 6.638 Å, c = 6.638 Å
α = 90.00°, β = 90.00°, γ = 90.00°
Site moments in Bohr magnetons follow the coordinates.
Element x y z (fractional)
Au 0.500 0.500 0.000  0.01
Au 0.500 0.000 0.500  0.02
Au 0.000 0.500 0.500  0.03
Na 0.000 0.000 0.000  0.01
Os 0.500 0.500 0.500  0.36
Te 0.275 0.275 0.275  0.02
Te 0.725 0.725 0.275  0.01
Te 0.725 0.275 0.725  0.01
Te 0.275 0.725 0.725  0.01


Question: What is the total moment in the third record?
Answer: 2.029 Bohr magnetons per cell